Entry 1:
The following is a PBE-GGA calculation of a relaxed CsTlH2Pd crystal, from the Alexandria database.

The space group is Cmcm (No. 63) and the conventional cell measures 4.1160, 13.7905 and 7.7982 Å, with angles of 90.00, 90.00 and 90.00 degrees. The asymmetric unit holds Cs at (0.0000, 0.2309, 0.2500), Tl at (0.0000, 0.0260, 0.7500), H at (0.0000, 0.3791, 0.5366) and Pd at (0.0000, 0.5000, 0.0000).

For the size of the total moment, the calculation gives 0.00 Bohr magnetons per cell. As for the total energy: -3.194 eV/atom.

=====

Entry 2:
The following is a PBE-GGA calculation of a relaxed CsZn2HPd crystal, from the Alexandria database.

The space group is P4/mmm (No. 123) and the conventional cell measures 7.8897, 7.8897 and 5.5764 Å, with angles of 90.00, 90.00 and 90.00 degrees. The asymmetric unit holds Cs at (0.0000, 0.0000, 0.0000), Zn at (0.0000, 0.5000, 0.0000), H at (0.5000, 0.5000, 0.5000) and Pd at (0.0000, 0.0000, 0.5000).

For the size of the total moment, the calculation gives 0.99 Bohr magnetons per cell. As for the total energy: -1.180 eV/atom.

=====

Which of these has the lowest size of the total moment?
CsTlH2Pd

=====

Look up the size of the total moment of the first one.
0.00 Bohr magnetons per cell